Version a
14
Lattice="-1.079 0.850 -6.202 -11.094 -2.941 1.527 -1.602 6.222 0.347" Properties=species:S:1:pos:R:3 comment="La2Dy2Er3 PBE optimized geometry" volume_a3_per_atom=33.6 space_group="P2_1/c (14)" total_magnetization_mub_per_fu=0.0 pbc="T T T"
Er -6.334 3.311 0.768
Er -2.208 4.973 -2.975
Er -6.087 -1.045 -2.337
Er -11.567 -0.842 -1.353
Er -7.441 0.820 -5.096
Er 0.000 0.000 0.000
La -5.317 2.647 -2.578
La -2.502 2.825 0.210
La -11.273 1.306 -4.537
La -8.458 1.484 -1.750
Dy -3.439 -0.066 -0.838
Dy -10.384 3.617 -0.308
Dy -3.391 0.515 -4.020
Dy -10.336 4.198 -3.489


Version b
14
Lattice="-3.247 -5.465 -5.594 -1.114 -2.992 7.842 -3.915 7.470 -0.753" Properties=species:S:1:pos:R:3 comment="La2Dy2Er3 PBE optimized geometry" volume_a3_per_atom=33.4 space_group="I2_13 (199)" total_magnetization_mub_per_fu=0.0 pbc="T T T"
Dy -1.648 3.144 -0.317
Dy -2.278 -2.811 -2.678
Dy -3.546 -6.528 -1.230
Dy -4.050 -0.257 0.127
Er -1.471 0.705 1.883
Er -4.624 2.536 -1.511
Er -2.657 -2.711 5.908
Er -5.022 -1.014 -2.922
Er -6.834 1.028 1.245
Er -4.217 -3.508 -0.115
La -4.029 2.058 3.818
La -4.491 -1.442 3.233
La -1.586 -3.228 2.148
La -3.199 6.102 -0.615


Most stable to least stable, the ends of the list are version a and version b.


Version a
10
Lattice="9.437 0.000 0.000 0.000 9.437 0.000 0.000 0.000 3.718" Properties=species:S:1:pos:R:3 comment="LaDy2Er2 PBE optimized geometry" volume_a3_per_atom=33.1 space_group="P4/mbm (127)" total_magnetization_mub_per_fu=0.0 pbc="T T T"
Dy 5.892 8.263 0.000
Dy 8.263 3.544 0.000
Dy 3.544 1.174 0.000
Dy 1.174 5.892 0.000
Er 6.334 1.616 1.859
Er 3.102 7.821 1.859
Er 1.616 3.102 1.859
Er 7.821 6.334 1.859
La 4.718 4.718 0.000
La 0.000 0.000 0.000


Version b
5
Lattice="3.569 0.000 0.000 0.000 3.569 0.000 -1.785 -1.785 12.639" Properties=species:S:1:pos:R:3 comment="LaDy2Er2 PBE optimized geometry" volume_a3_per_atom=32.2 space_group="I4/mmm (139)" total_magnetization_mub_per_fu=0.0 pbc="T T T"
La 0.000 0.000 0.000
Dy 0.000 0.000 10.008
Dy 1.785 1.785 2.631
Er 0.000 0.000 5.093
Er 1.785 1.785 7.546


Most stable to least stable, the ends of the list are version b and version a.


Version a
9
Lattice="8.843 4.543 -0.506 -8.843 4.543 -0.506 0.000 -0.177 3.610" Properties=species:S:1:pos:R:3 comment="LaDy6Er2 PBE optimized geometry" volume_a3_per_atom=32.1 space_group="C2/m (12)" total_magnetization_mub_per_fu=0.0 pbc="T T T"
Dy 0.000 2.970 2.068
Dy -2.941 2.992 0.246
Dy 2.941 2.992 0.246
Dy 2.941 5.918 2.352
Dy 0.000 5.940 0.529
Dy -2.941 5.918 2.352
Er -5.798 4.455 1.299
Er 5.798 4.455 1.299
La 0.000 0.000 0.000


Version b
9
Lattice="7.329 0.000 0.000 3.664 6.347 0.000 3.664 2.116 6.374" Properties=species:S:1:pos:R:3 comment="LaDy6Er2 PBE optimized geometry" volume_a3_per_atom=32.9 space_group="R3m (160)" total_magnetization_mub_per_fu=0.0 pbc="T T T"
Er 7.329 4.231 1.679
Er 10.993 6.347 4.662
Dy 1.599 0.922 1.856
Dy 9.239 3.128 4.437
Dy 3.664 4.501 1.856
Dy 5.418 3.129 4.437
Dy 5.731 0.924 1.856
Dy 7.329 6.438 4.437
La 3.664 2.116 0.296


Most stable to least stable, the ends of the list are version a and version b.


Version a
11
Lattice="6.726 0.475 -0.085 0.899 8.543 1.074 -0.542 0.198 6.539" Properties=species:S:1:pos:R:3 comment="La3Dy7Er PBE optimized geometry" volume_a3_per_atom=33.7 space_group="P-1 (2)" total_magnetization_mub_per_fu=0.0 pbc="T T T"
Dy 1.861 1.487 2.985
Dy 1.838 6.979 5.500
Dy 2.193 3.743 0.505
Dy 0.178 4.371 3.807
Dy 4.890 5.473 7.023
Dy 5.222 7.729 4.544
Dy 5.245 2.237 2.029
La 3.363 0.237 -0.042
La 6.034 2.034 5.369
La 1.049 7.182 2.159
Er 3.541 4.608 3.764


Version b
11
Lattice="-5.284 5.080 4.827 3.883 -1.438 5.765 1.634 5.574 -4.079" Properties=species:S:1:pos:R:3 comment="La3Dy7Er PBE optimized geometry" volume_a3_per_atom=34.8 space_group="P3m1 (156)" total_magnetization_mub_per_fu=0.0 pbc="T T T"
Dy 2.477 1.529 3.082
Dy 3.289 4.313 1.036
Dy 1.978 4.762 4.225
Dy 1.356 5.029 -1.834
Dy 1.165 1.986 6.256
Dy -0.769 2.702 3.386
Dy 0.543 2.254 0.197
La -1.379 6.046 4.621
La -0.562 8.832 2.583
La -3.319 6.765 1.740
Er 0.047 5.483 1.337


Most stable to least stable, the ends of the list are version a and version b.


Version a
11
Lattice="3.506 0.000 -0.662 -0.197 11.699 -1.044 -0.100 0.198 9.083" Properties=species:S:1:pos:R:3 comment="La5Dy4Er2 PBE optimized geometry" volume_a3_per_atom=33.9 space_group="C2/m (12)" total_magnetization_mub_per_fu=0.0 pbc="T T T"
La 1.753 0.000 -0.331
La 0.570 0.924 3.020
La 0.216 6.302 1.145
La 2.992 5.595 6.232
La 2.638 10.973 4.357
Dy 2.061 9.380 1.300
Dy 3.139 8.810 7.007
Dy 0.070 3.087 0.370
Dy 1.148 2.517 6.077
Er 2.396 4.189 3.077
Er 0.812 7.708 4.301


Version b
11
Lattice="-0.005 3.420 -0.925 0.859 -2.410 -8.911 -12.265 -0.810 3.860" Properties=species:S:1:pos:R:3 comment="La5Dy4Er2 PBE optimized geometry" volume_a3_per_atom=35.5 space_group="Immm (71)" total_magnetization_mub_per_fu=0.0 pbc="T T T"
Er -5.020 0.365 -5.405
Er -6.392 -0.164 -0.572
Dy -1.858 0.447 -5.123
Dy 0.589 -1.652 -6.110
Dy 0.270 -0.757 -2.801
Dy -9.553 -0.246 -0.854
La -2.817 -2.012 -7.422
La -8.595 2.213 1.445
La -3.328 -0.577 -2.115
La -8.083 0.778 -3.862
La -0.003 1.710 -0.463


Most stable to least stable, the ends of the list are version a and version b.


Version a
10
Lattice="-0.782 2.826 -2.190 -5.917 -5.718 -2.210 -7.117 4.258 8.037" Properties=species:S:1:pos:R:3 comment="LaDyEr3 PBE optimized geometry" volume_a3_per_atom=35.2 space_group="Cmcm (63)" total_magnetization_mub_per_fu=0.0 pbc="T T T"
Er -4.931 -4.170 -2.097
Er -8.438 -2.072 1.863
Er -6.870 2.986 4.781
Er -6.946 -1.619 -1.144
Er -8.885 5.537 5.734
Er -5.378 3.439 1.773
Dy -5.295 1.189 -1.171
Dy -8.521 0.177 4.807
La -2.707 1.271 1.078
La -11.109 0.096 2.558


Version b
20
Lattice="5.485 0.000 0.000 0.000 10.329 0.000 0.000 0.000 11.810" Properties=species:S:1:pos:R:3 comment="LaDyEr3 PBE optimized geometry" volume_a3_per_atom=33.5 space_group="Cmcm (63)" total_magnetization_mub_per_fu=0.0 pbc="T T T"
La 2.743 7.747 5.300
La 0.000 2.582 0.605
La 0.000 7.747 11.205
La 2.743 2.582 6.511
Er 2.741 4.507 3.624
Er 0.002 4.507 9.529
Er 0.002 0.658 9.529
Er 2.745 5.822 8.186
Er 2.745 2.582 9.786
Er 5.483 5.822 2.281
Er 5.483 9.671 2.281
Er 2.740 7.747 2.025
Er 2.741 0.658 3.624
Er 2.745 9.671 8.186
Er 0.002 7.747 7.930
Er 5.483 2.582 3.881
Dy 0.000 5.164 5.905
Dy 2.743 5.164 0.000
Dy 0.000 0.000 5.905
Dy 2.743 0.000 0.000


Most stable to least stable, the ends of the list are version b and version a.


Version a
20
Lattice="-1.758 6.128 -0.016 -9.772 -2.793 4.261 8.422 2.434 6.678" Properties=species:S:1:pos:R:3 comment="La3Dy6Er PBE optimized geometry" volume_a3_per_atom=33.5 space_group="Cmc2_1 (36)" total_magnetization_mub_per_fu=0.0 pbc="T T T"
La 0.135 6.460 2.158
La -3.126 2.207 1.616
La -3.723 2.725 5.189
La -0.747 6.226 9.300
La -4.008 1.973 8.758
La 1.248 0.837 5.741
Dy -5.043 -0.479 4.921
Dy -5.713 4.133 2.319
Dy 2.308 4.949 6.006
Dy -0.571 3.495 3.726
Dy 6.198 7.602 6.573
Dy 2.185 3.099 8.601
Dy 2.833 3.271 3.346
Dy -1.835 -0.175 7.203
Dy -1.379 -0.054 3.510
Dy -1.027 3.374 7.420
Dy -9.748 -0.296 4.346
Dy -6.361 3.960 7.574
Er 4.676 2.171 6.207
Er -7.337 2.037 4.720


Version b
10
Lattice="-6.155 4.220 6.555 1.092 -1.796 9.708 0.716 3.857 5.715" Properties=species:S:1:pos:R:3 comment="La3Dy6Er PBE optimized geometry" volume_a3_per_atom=33.3 space_group="R-3 (148)" total_magnetization_mub_per_fu=0.0 pbc="T T T"
La -1.093 4.512 11.121
La -0.023 2.920 5.624
La -2.879 2.246 10.902
Dy 0.386 2.338 8.779
Dy -4.173 5.812 10.017
Dy -4.882 3.576 13.066
Dy -0.526 0.257 11.887
Dy -3.287 2.832 7.748
Dy -1.281 3.115 14.347
Er -3.982 3.796 16.395


Most stable to least stable, the ends of the list are version a and version b.


Version a
8
Lattice="5.019 0.000 0.000 0.000 5.142 0.000 -2.510 -2.571 10.305" Properties=species:S:1:pos:R:3 comment="La3Dy2Er3 PBE optimized geometry" volume_a3_per_atom=33.2 space_group="Immm (71)" total_magnetization_mub_per_fu=0.0 pbc="T T T"
Er 2.510 2.571 7.671
Er 0.000 2.571 0.000
Er 0.000 0.000 2.635
La 0.000 0.000 7.746
La 2.510 0.000 0.000
La 2.510 2.571 2.559
Dy 2.510 0.000 5.122
Dy 0.000 2.571 5.183


Version b
8
Lattice="5.656 0.000 -1.064 -0.373 5.697 -1.981 -1.283 -0.369 8.745" Properties=species:S:1:pos:R:3 comment="La3Dy2Er3 PBE optimized geometry" volume_a3_per_atom=33.7 space_group="C2/m (12)" total_magnetization_mub_per_fu=0.0 pbc="T T T"
La 3.220 0.310 1.553
La 0.780 5.018 4.147
La 2.642 2.849 -1.523
Er 3.844 1.519 4.865
Er 0.000 0.000 0.000
Er 0.157 3.810 0.835
Dy 0.650 1.628 3.457
Dy 3.350 3.700 2.243


Most stable to least stable, the ends of the list are version a and version b.


Version a
8
Lattice="-1.293 0.600 5.000 -4.852 -1.530 -1.071 2.693 -9.857 1.879" Properties=species:S:1:pos:R:3 comment="La6DyEr PBE optimized geometry" volume_a3_per_atom=35.1 space_group="P4/mmm (123)" total_magnetization_mub_per_fu=0.0 pbc="T T T"
La -1.752 -3.234 -0.065
La -0.407 -8.153 0.873
La -1.726 -5.393 2.904
La 1.372 -7.088 3.908
La 0.028 -2.169 2.971
La -3.072 -0.465 1.964
Er 1.347 -4.928 0.940
Dy 0.000 0.000 0.000


Version b
8
Lattice="-1.846 -4.236 5.073 6.294 -0.436 -2.699 -2.172 9.234 2.240" Properties=species:S:1:pos:R:3 comment="La6DyEr PBE optimized geometry" volume_a3_per_atom=35.1 space_group="C2/m (12)" total_magnetization_mub_per_fu=0.0 pbc="T T T"
La 3.075 -1.503 2.486
La 2.504 5.282 1.246
La -1.047 3.625 4.636
La -0.227 -0.721 3.369
La -0.799 6.065 2.129
La 3.324 0.937 -0.021
Dy 1.138 2.281 2.308
Er 0.000 0.000 0.000


Most stable to least stable, the ends of the list are version a and version b.


Version a
16
Lattice="-2.882 4.421 2.359 -5.686 -4.787 -5.058 -2.609 -6.595 9.174" Properties=species:S:1:pos:R:3 comment="La5Dy2Er PBE optimized geometry" volume_a3_per_atom=35.7 space_group="Cmcm (63)" total_magnetization_mub_per_fu=0.0 pbc="T T T"
Dy -4.600 -4.957 3.673
Dy -5.706 0.200 -0.263
Dy -6.578 -2.003 2.802
Dy -5.472 -7.161 6.738
La -10.196 -5.958 5.795
La -4.239 -2.114 5.868
La -9.489 -4.172 3.310
La -7.498 -6.949 3.866
La -3.680 -0.012 2.609
La -6.939 -4.846 0.606
La -5.093 -4.273 8.872
La -1.689 -2.789 3.165
La -6.084 -2.687 -2.397
La -0.982 -1.002 0.679
Er -3.931 -2.834 0.509
Er -7.247 -4.127 5.965


Version b
16
Lattice="-0.090 3.798 4.217 -4.776 -4.689 0.302 10.042 -9.654 8.908" Properties=species:S:1:pos:R:3 comment="La5Dy2Er PBE optimized geometry" volume_a3_per_atom=35.6 space_group="Cmcm (63)" total_magnetization_mub_per_fu=0.0 pbc="T T T"
Dy -1.320 -0.950 4.647
Dy 4.216 -7.404 6.757
Dy 6.496 -9.596 8.780
Dy 0.960 -3.143 6.670
La 2.161 -0.691 4.488
La 4.981 -9.212 12.221
La 3.015 -9.855 8.939
La 1.840 -6.191 9.434
La 0.771 -6.474 5.847
La 4.405 -4.072 7.580
La -3.194 -2.662 2.330
La 8.370 -7.884 11.097
La 0.195 -1.335 1.206
La 3.336 -4.355 3.993
Er 5.092 -6.728 9.987
Er 0.084 -3.818 3.440


Most stable to least stable, the ends of the list are version b and version a.